<i>
SmHoBi2 | PBE | relaxed

Unit cell a=11.9223 b=11.9223 c=11.9223 alpha=17.24 beta=17.24 gamma=17.24
Closest atoms and distances in Å follow each position.
Element x y z (fractional)
1 Sm 0.0000 0.0000 0.0000  6 Bi 3.41, 6 Sm 3.57
2 Ho 0.5000 0.5000 0.5000  2 Bi 3.16
3 Bi 0.4103 0.4103 0.4103  1 Ho 3.16, 3 Sm 3.41
4 Bi 0.5897 0.5897 0.5897  1 Ho 3.16, 3 Sm 3.41

Summary:
Spin magnetization in Bohr magnetons per cell: 0.00

=====

<ii>
SmHoBi2 | PBE | relaxed

Unit cell a=4.4973 b=4.4973 c=14.9328 alpha=90.00 beta=90.00 gamma=120.00
Closest atoms and distances in Å follow each position.
Element x y z (fractional)
1 Sm 0.0000 0.0000 0.0000  6 Bi 3.20
2 Sm 0.0000 0.0000 0.5000  6 Bi 3.20
3 Ho 0.3333 0.6667 0.2500  6 Bi 3.19
4 Ho 0.6667 0.3333 0.7500  6 Bi 3.19
5 Bi 0.3333 0.6667 0.6255  3 Ho 3.19, 3 Sm 3.20
6 Bi 0.3333 0.6667 0.8745  3 Ho 3.19, 3 Sm 3.20
7 Bi 0.6667 0.3333 0.1255  3 Ho 3.19, 3 Sm 3.20
8 Bi 0.6667 0.3333 0.3745  3 Ho 3.19, 3 Sm 3.20

Summary:
Spin magnetization in Bohr magnetons per cell: 0.00

=====

Which one sits at the top of the stability order? <ii> does.